DFT (PBE) results for AlOs2Pt after structural relaxation.

Geometry as extended XYZ:
```
4
Lattice="4.6980 0.0000 0.0000 0.0000 2.7557 0.0000 -1.4448 0.0000 4.4898" Properties=species:S:1:pos:R:3 pbc="T T T"
Al 0.0000 0.0000 0.0000
Os -0.7224 1.3778 2.2449
Os 1.6266 0.0000 2.2449
Pt 2.3490 1.3778 0.0000
```

Summary:
Space-group type: P2/m, No. 10
Energy relative to the elements in eV/atom: -0.138
Calculated volume in Å³/cell: 58.1